SrCaAg2F8, relaxed, DFT GGA-PBE; formation energy (no corrections) = -2.4480 eV/atom; space group = No. 119
1.0
-2.7894 2.7894 5.6240
2.7894 -2.7894 5.6240
2.7894 2.7894 -5.6240
Sr Ca Ag F
1 1 2 8
Direct
0.0000 0.0000 0.0000 Sr
0.2500 0.7500 0.5000 Ca
0.5000 0.5000 0.0000 Ag
0.7500 0.2500 0.5000 Ag
0.1288 0.1282 0.5145 F
0.1288 0.6144 0.0006 F
0.3856 0.3863 0.5145 F
0.3856 0.8712 0.9994 F
0.6137 0.1282 0.9994 F
0.6137 0.6144 0.4855 F
0.8718 0.3863 0.0006 F
0.8718 0.8712 0.4855 F